# 1
First-principles (PBEsol) data for a geometry-optimized GaIr3Rh structure, as listed in Alexandria.

Properties
Uncorrected energy = -32.63 eV per cell
Calculated density = 14.410 g cm⁻³

Unit cell a=4.4198 b=4.4198 c=4.4198 alpha=90.00 beta=90.00 gamma=90.00
Last column: nearest neighbours and their distance in Å.
Fractional coordinates of all 5 atoms:
Ga 0.0000 0.0000 0.0000  6 Ir 2.21
Ir 0.0000 0.0000 0.5000  2 Ga 2.21
Ir 0.0000 0.5000 0.0000  2 Ga 2.21
Ir 0.5000 0.0000 0.0000  2 Ga 2.21
Rh 0.5000 0.5000 0.5000  12 Ir 3.13


# 2
First-principles (PBEsol) data for a geometry-optimized Ga2IrRh structure, as listed in Alexandria.

Properties
Uncorrected energy = -26.91 eV per cell
Calculated density = 13.283 g cm⁻³

Unit cell a=4.2512 b=4.2512 c=4.2512 alpha=60.00 beta=60.00 gamma=60.00
Last column: nearest neighbours and their distance in Å.
Fractional coordinates of all 4 atoms:
Ga 0.2500 0.2500 0.2500  4 Rh 2.60, 4 Ir 2.60
Ga 0.7500 0.7500 0.7500  4 Ir 2.60, 4 Rh 2.60
Ir 0.0000 0.0000 0.0000  8 Ga 2.60
Rh 0.5000 0.5000 0.5000  8 Ga 2.60


# 3
First-principles (PBEsol) data for a geometry-optimized GaSbIr3 structure, as listed in Alexandria.

Properties
Calculated density = 13.623 g cm⁻³
Uncorrected formation energy = 1.1376 eV/atom

Unit cell a=4.5408 b=4.5408 c=4.5408 alpha=90.00 beta=90.00 gamma=90.00
Last column: nearest neighbours and their distance in Å.
Fractional coordinates of all 5 atoms:
Ga 0.0000 0.0000 0.0000  6 Ir 2.27
Sb 0.5000 0.5000 0.5000  12 Ir 3.21
Ir 0.0000 0.0000 0.5000  2 Ga 2.27
Ir 0.0000 0.5000 0.0000  2 Ga 2.27
Ir 0.5000 0.0000 0.0000  2 Ga 2.27


# 4
First-principles (PBEsol) data for a geometry-optimized Sc6Ga16Ir7 structure, as listed in Alexandria.

Properties
Uncorrected energy = -181.61 eV per cell
Calculated density = 9.754 g cm⁻³

Unit cell a=8.6955 b=8.6955 c=8.6955 alpha=60.00 beta=60.00 gamma=60.00
Last column: nearest neighbours and their distance in Å.
Fractional coordinates of all 29 atoms:
Sc 0.2217 0.2217 0.7783  8 Ga 2.81-2.87, 4 Ir 3.09
Sc 0.2217 0.7783 0.2217  8 Ga 2.81-2.87, 4 Ir 3.09
Sc 0.2217 0.7783 0.7783  8 Ga 2.81-2.87, 4 Ir 3.09
Sc 0.7783 0.2217 0.2217  8 Ga 2.81-2.87, 4 Ir 3.09
Sc 0.7783 0.2217 0.7783  8 Ga 2.81-2.87, 4 Ir 3.09
Sc 0.7783 0.7783 0.2217  8 Ga 2.81-2.87, 4 Ir 3.09
Ga 0.1277 0.6241 0.6241  4 Ir 2.64-2.67, 3 Ga 2.78, 3 Sc 2.87
Ga 0.1541 0.1541 0.1541  3 Ir 2.52, 3 Ga 2.78, 3 Sc 2.81
Ga 0.1541 0.1541 0.5376  3 Ir 2.52, 3 Ga 2.78, 3 Sc 2.81
Ga 0.1541 0.5376 0.1541  3 Ir 2.52, 3 Ga 2.78, 3 Sc 2.81
Ga 0.3759 0.3759 0.3759  4 Ir 2.64-2.67, 3 Ga 2.78, 3 Sc 2.87
Ga 0.3759 0.3759 0.8723  4 Ir 2.64-2.67, 3 Ga 2.78, 3 Sc 2.87
Ga 0.3759 0.8723 0.3759  4 Ir 2.64-2.67, 3 Ga 2.78, 3 Sc 2.87
Ga 0.4624 0.8459 0.8459  3 Ir 2.52, 3 Ga 2.78, 3 Sc 2.81
Ga 0.5376 0.1541 0.1541  3 Ir 2.52, 3 Ga 2.78, 3 Sc 2.81
Ga 0.6241 0.1277 0.6241  4 Ir 2.64-2.67, 3 Ga 2.78, 3 Sc 2.87
Ga 0.6241 0.6241 0.1277  4 Ir 2.64-2.67, 3 Ga 2.78, 3 Sc 2.87
Ga 0.6241 0.6241 0.6241  4 Ir 2.64-2.67, 3 Ga 2.78, 3 Sc 2.87
Ga 0.8459 0.4624 0.8459  3 Ir 2.52, 3 Ga 2.78, 3 Sc 2.81
Ga 0.8459 0.8459 0.4624  3 Ir 2.52, 3 Ga 2.78, 3 Sc 2.81
Ga 0.8459 0.8459 0.8459  3 Ir 2.52, 3 Ga 2.78, 3 Sc 2.81
Ga 0.8723 0.3759 0.3759  4 Ir 2.64-2.67, 3 Ga 2.78, 3 Sc 2.87
Ir 0.0000 0.0000 0.5000  8 Ga 2.52-2.67
Ir 0.0000 0.5000 0.0000  8 Ga 2.52-2.67
Ir 0.0000 0.5000 0.5000  8 Ga 2.52-2.67
Ir 0.5000 0.0000 0.0000  8 Ga 2.52-2.67
Ir 0.5000 0.0000 0.5000  8 Ga 2.52-2.67
Ir 0.5000 0.5000 0.0000  8 Ga 2.52-2.67
Ir 0.5000 0.5000 0.5000  8 Ga 2.64


# 5
First-principles (PBEsol) data for a geometry-optimized Sc2Ga2Ir structure, as listed in Alexandria.

Properties
Uncorrected energy = -66.94 eV per cell
Calculated density = 8.264 g cm⁻³

Unit cell a=6.6312 b=6.6312 c=3.8528 alpha=90.00 beta=90.00 gamma=90.00
Last column: nearest neighbours and their distance in Å.
Fractional coordinates of all 10 atoms:
Sc 0.1750 0.3250 0.0000  6 Ga 2.65-2.81
Sc 0.3250 0.8250 0.0000  6 Ga 2.65-2.81
Sc 0.6750 0.1750 0.0000  6 Ga 2.65-2.81
Sc 0.8250 0.6750 0.0000  6 Ga 2.65-2.81
Ga 0.1311 0.6311 0.5000  1 Ga 2.46, 2 Ir 2.60, 2 Sc 2.65
Ga 0.3689 0.1311 0.5000  1 Ga 2.46, 2 Ir 2.60, 2 Sc 2.65
Ga 0.6311 0.8689 0.5000  1 Ga 2.46, 2 Ir 2.60, 2 Sc 2.65
Ga 0.8689 0.3689 0.5000  1 Ga 2.46, 2 Ir 2.60, 2 Sc 2.65
Ir 0.0000 0.0000 0.5000  4 Ga 2.60
Ir 0.5000 0.5000 0.5000  4 Ga 2.60


# 6
First-principles (PBEsol) data for a geometry-optimized ScGa2TcIr structure, as listed in Alexandria.

Properties
Uncorrected energy = -26.26 eV per cell
Calculated density = 8.241 g cm⁻³

Unit cell a=4.7538 b=4.7538 c=4.2319 alpha=90.00 beta=90.00 gamma=90.00
Last column: nearest neighbours and their distance in Å.
Fractional coordinates of all 5 atoms:
Sc 0.0000 0.0000 0.0000  2 Tc 2.12
Ga 0.0000 0.5000 0.0000  2 Sc 2.38
Ga 0.5000 0.0000 0.0000  2 Sc 2.38
Tc 0.0000 0.0000 0.5000  2 Sc 2.12
Ir 0.5000 0.5000 0.5000  8 Ga 3.18, 4 Tc 3.36


Q: Look up the calculated density of the sixth one.
A: 8.241 g cm⁻³